Computed, not measured: a relaxed CuBiTeN2 crystal at the GGA-PBE level of DFT.

Structure (POSCAR):
```
CuBiTeN2
1.0
4.242 0.000 0.000
0.000 4.242 0.000
0.000 0.000 5.188
Cu Bi Te N
1 1 1 2
Direct
0.000 0.000 0.000 Cu
0.500 0.500 0.500 Bi
0.000 0.000 0.500 Te
0.000 0.500 0.000 N
0.500 0.000 0.000 N
```

## Properties
The calculated volume is 93.3 Å³/cell. The value obtained for the energy relative to the elements, uncorrected is 1.51 eV per atom. Its crystal system is tetragonal. The calculation puts the magnetic moment at 2.88 μB/f.u. The calculation puts the energy relative to the lowest polymorph listed for this composition at 0 meV per atom. The space-group type is P4/mmm, No. 123.

Computed, not measured: a relaxed Nd6Y12Ho crystal at the GGA-PBE level of DFT.

Structure (POSCAR):
```
Nd6Y12Ho
1.0
5.600 3.233 5.883
-5.600 3.233 5.883
0.000 -6.466 5.883
Nd Y Ho
6 12 1
Direct
0.269 0.269 0.663 Nd
0.269 0.663 0.269 Nd
0.337 0.731 0.731 Nd
0.663 0.269 0.269 Nd
0.731 0.337 0.731 Nd
0.731 0.731 0.337 Nd
0.015 0.015 0.696 Y
0.015 0.363 0.363 Y
0.015 0.696 0.015 Y
0.304 0.985 0.985 Y
0.363 0.015 0.363 Y
0.363 0.363 0.015 Y
0.637 0.637 0.985 Y
0.637 0.985 0.637 Y
0.696 0.015 0.015 Y
0.985 0.304 0.985 Y
0.985 0.637 0.637 Y
0.985 0.985 0.304 Y
0.500 0.500 0.500 Ho
```

## Properties
The calculated volume is 639.1 Å³/cell. Its crystal system is trigonal. The calculation puts the magnetic moment at 0.00 μB/f.u. The calculation puts the energy relative to the lowest polymorph listed for this composition at 0 meV per atom. The energy of formation comes out at 0.117 eV/atom. The space-group type is R-3m, No. 166.

Computed, not measured: a relaxed Sr6ZnPd3 crystal at the GGA-PBE level of DFT.

Structure (POSCAR):
```
Sr6ZnPd3
1.0
11.198 0.000 0.000
0.000 4.447 0.000
-5.298 0.000 14.033
Sr Zn Pd
12 2 6
Direct
0.007 0.250 0.115 Sr
0.063 0.750 0.407 Sr
0.248 0.250 0.821 Sr
0.333 0.250 0.592 Sr
0.350 0.250 0.327 Sr
0.368 0.750 0.083 Sr
0.632 0.250 0.917 Sr
0.650 0.750 0.673 Sr
0.667 0.750 0.408 Sr
0.752 0.750 0.179 Sr
0.937 0.250 0.593 Sr
0.993 0.750 0.885 Sr
0.416 0.750 0.765 Zn
0.584 0.250 0.235 Zn
0.168 0.750 0.657 Pd
0.176 0.250 0.997 Pd
0.411 0.750 0.475 Pd
0.589 0.250 0.525 Pd
0.824 0.750 0.003 Pd
0.832 0.250 0.343 Pd
```

## Properties
The calculated volume is 698.8 Å³/cell. Its crystal system is monoclinic. The calculation puts the magnetic moment at 0.00 μB/f.u. The energy of formation comes out at -0.406 eV/atom. The space-group type is P2_1/m, No. 11.

Computed, not measured: a relaxed Hf7In2Sn crystal at the GGA-PBE level of DFT.

Structure (POSCAR):
```
Hf7In2Sn
1.0
3.971 -7.189 0.000
3.971 7.189 0.000
0.000 0.000 4.882
Hf In Sn
7 2 1
Direct
0.000 0.000 0.000 Hf
0.216 0.435 0.000 Hf
0.295 0.705 0.500 Hf
0.435 0.216 0.000 Hf
0.565 0.784 0.000 Hf
0.705 0.295 0.500 Hf
0.784 0.565 0.000 Hf
0.199 0.801 0.000 In
0.801 0.199 0.000 In
0.500 0.500 0.500 Sn
```

## Properties
The calculated volume is 278.8 Å³/cell. Its crystal system is orthorhombic. The calculation puts the magnetic moment at 0.00 μB/f.u. The energy of formation comes out at 0.685 eV/atom. The space-group type is Cmmm, No. 65.

Computed, not measured: a relaxed RbNaIn5 crystal at the GGA-PBE level of DFT.

Structure (POSCAR):
```
RbNaIn5
1.0
4.516 0.000 0.000
0.000 4.516 0.000
0.000 0.000 11.267
Rb Na In
1 1 5
Direct
0.000 0.000 0.000 Rb
0.000 0.000 0.500 Na
0.000 0.500 0.281 In
0.000 0.500 0.719 In
0.500 0.000 0.281 In
0.500 0.000 0.719 In
0.500 0.500 0.500 In
```

## Properties
The calculated volume is 229.7 Å³/cell. Its crystal system is tetragonal. The calculation puts the magnetic moment at 0.00 μB/f.u. The energy of formation comes out at -0.057 eV/atom. The space-group type is P4/mmm, No. 123.

Computed, not measured: a relaxed Mn2ReHgN crystal at the GGA-PBE level of DFT.

Structure (POSCAR):
```
Mn2ReHgN
1.0
5.016 0.000 0.000
0.000 5.016 0.000
0.000 0.000 5.071
Mn Re Hg N
2 1 1 1
Direct
0.000 0.500 0.000 Mn
0.500 0.000 0.000 Mn
0.000 0.000 0.500 Re
0.000 0.000 0.000 Hg
0.500 0.500 0.500 N
```

## Properties
The calculated volume is 127.6 Å³/cell. The value obtained for the energy relative to the elements, uncorrected is 2.94 eV per atom. Its crystal system is tetragonal. The calculation puts the magnetic moment at 7.01 μB/f.u. The space-group type is P4/mmm, No. 123.

Computed, not measured: a relaxed LaV2MoBr crystal at the GGA-PBE level of DFT.

Structure (POSCAR):
```
LaV2MoBr
1.0
4.578 0.000 0.000
0.000 4.578 0.000
0.000 0.000 6.211
La V Mo Br
1 2 1 1
Direct
0.000 0.000 0.000 La
0.000 0.500 0.500 V
0.500 0.000 0.500 V
0.000 0.000 0.500 Mo
0.500 0.500 0.000 Br
```

## Properties
The calculated volume is 130.2 Å³/cell. The value obtained for the energy relative to the elements, uncorrected is 0.68 eV per atom. Its crystal system is tetragonal. The calculation puts the magnetic moment at 2.86 μB/f.u. The space-group type is P4/mmm, No. 123.

Computed, not measured: a relaxed Li3GaF7 crystal at the GGA-PBE level of DFT.

Structure (POSCAR):
```
Li3GaF7
1.0
4.152 2.397 2.445
-4.152 2.397 2.445
0.000 -4.794 2.445
Li Ga F
3 1 7
Direct
0.084 0.458 0.458 Li
0.458 0.084 0.458 Li
0.458 0.458 0.084 Li
0.931 0.931 0.931 Ga
0.095 0.740 0.740 F
0.179 0.179 0.179 F
0.313 0.313 0.704 F
0.313 0.704 0.313 F
0.704 0.313 0.313 F
0.740 0.095 0.740 F
0.740 0.740 0.095 F
```

## Properties
The calculated volume is 146.0 Å³/cell. The value obtained for the energy relative to the elements, uncorrected is -2.46 eV per atom. Its crystal system is trigonal. The calculation puts the magnetic moment at 1.03 μB/f.u. The space-group type is R3m, No. 160.

Among the records above, which one has the highest magnetic moment? Mn2ReHgN